Computed, not measured: an optimized crystal structure of K2AcMoO6 at the GGA+U level of DFT.

Values from the calculation:
E = -6.312 eV per atom

a = 6.2380 Å, b = 6.2380 Å, c = 15.2234 Å
α = 90.00°, β = 90.00°, γ = 120.00°
Space group R-3 (No. 148, hexagonal axes)
Asymmetric unit:
K 0.0000 0.0000 0.2492
Ac 0.0000 0.0000 0.5000
Mo 0.0000 0.0000 0.0000
O 0.0409 0.4907 0.7404